(1)
The following is a DFT calculation (PBE-GGA) of a relaxed Zr2RuW crystal.

```
data_Zr2RuW
_chemical_formula_sum 'Zr6 Ru3 W3'
_cell_length_a 3.0653
_cell_length_b 3.0653
_cell_length_c 27.8891
_cell_angle_alpha 90.00
_cell_angle_beta 90.00
_cell_angle_gamma 120.00
_symmetry_space_group_name_H-M 'R 3 m'
_symmetry_Int_Tables_number 160
_symmetry_space_group_name_Hall 'R 3 -2"'
loop_
_atom_site_label
_atom_site_fract_x
_atom_site_fract_y
_atom_site_fract_z
Zr1 0.0000 0.0000 0.0000
Zr2 0.0000 0.0000 0.2380
Ru1 0.0000 0.0000 0.4883
W1 0.0000 0.0000 0.7528
```

(2)
The following is a DFT calculation (PBE-GGA) of a relaxed Zr2RuW crystal.

```
data_Zr2RuW
_chemical_formula_sum 'Zr2 Ru1 W1'
_cell_length_a 3.300
_cell_length_b 3.300
_cell_length_c 6.721
_cell_angle_alpha 90.00
_cell_angle_beta 90.00
_cell_angle_gamma 90.00
_symmetry_space_group_name_H-M 'P 4/m m m'
_symmetry_Int_Tables_number 123
_symmetry_space_group_name_Hall '-P 4 2'
loop_
_atom_site_label
_atom_site_fract_x
_atom_site_fract_y
_atom_site_fract_z
Zr1 0.000 0.000 0.244
Ru1 0.500 0.500 0.000
W1 0.500 0.500 0.500
```

(3)
The following is a DFT calculation (PBE-GGA) of a relaxed Zr3RuW crystal.

```
data_Zr3RuW
_chemical_formula_sum 'Zr3 Ru1 W1'
_cell_length_a 4.907
_cell_length_b 4.907
_cell_length_c 4.907
_cell_angle_alpha 90.00
_cell_angle_beta 90.00
_cell_angle_gamma 90.00
_symmetry_space_group_name_H-M 'P m -3 m'
_symmetry_Int_Tables_number 221
_symmetry_space_group_name_Hall '-P 4 2 3'
loop_
_atom_site_label
_atom_site_fract_x
_atom_site_fract_y
_atom_site_fract_z
Zr1 0.000 0.000 0.500
Ru1 0.000 0.000 0.000
W1 0.500 0.500 0.500
```

(4)
The following is a DFT calculation (PBE-GGA) of a relaxed ZrRuW2 crystal.

```
data_ZrRuW2
_chemical_formula_sum 'Zr2 Ru2 W4'
_cell_length_a 3.199
_cell_length_b 4.688
_cell_length_c 9.005
_cell_angle_alpha 90.00
_cell_angle_beta 90.00
_cell_angle_gamma 90.00
_symmetry_space_group_name_H-M 'I m m 2'
_symmetry_Int_Tables_number 44
loop_
_symmetry_equiv_pos_as_xyz
'x,y,z'
'-x,-y,z'
'-x,y,z'
'x,-y,z'
'x+1/2,y+1/2,z+1/2'
'-x+1/2,-y+1/2,z+1/2'
'-x+1/2,y+1/2,z+1/2'
'x+1/2,-y+1/2,z+1/2'
loop_
_atom_site_label
_atom_site_fract_x
_atom_site_fract_y
_atom_site_fract_z
Zr1 0.000 0.000 0.000
Ru1 0.000 0.500 0.245
W1 0.000 0.000 0.500
W2 0.000 0.500 0.763
```

(5)
The following is a DFT calculation (PBE-GGA) of a relaxed Zr2RuW crystal.

```
data_Zr2RuW
_chemical_formula_sum 'Zr8 Ru4 W4'
_cell_length_a 7.419
_cell_length_b 7.419
_cell_length_c 5.644
_cell_angle_alpha 90.00
_cell_angle_beta 90.00
_cell_angle_gamma 90.00
_symmetry_space_group_name_H-M 'I -4 2 d'
_symmetry_Int_Tables_number 122
_symmetry_space_group_name_Hall 'I -4 2bw'
loop_
_atom_site_label
_atom_site_fract_x
_atom_site_fract_y
_atom_site_fract_z
Zr1 0.230 0.250 0.125
Ru1 0.000 0.000 0.000
W1 0.000 0.000 0.500
```

(6)
The following is a DFT calculation (PBE-GGA) of a relaxed ZrRu2W2 crystal.

```
data_ZrRu2W2
_chemical_formula_sum 'Zr2 Ru4 W4'
_cell_length_a 7.613
_cell_length_b 7.613
_cell_length_c 2.888
_cell_angle_alpha 90.00
_cell_angle_beta 90.00
_cell_angle_gamma 90.00
_symmetry_space_group_name_H-M 'P 4/m b m'
_symmetry_Int_Tables_number 127
_symmetry_space_group_name_Hall '-P 4 2ab'
loop_
_atom_site_label
_atom_site_fract_x
_atom_site_fract_y
_atom_site_fract_z
Zr1 0.000 0.000 0.000
Ru1 0.133 0.367 0.000
W1 0.163 0.663 0.500
```

no.,magnetic moment (μB per cell),energy of formation (eV/atom)
1,0.0,0.20
2,0.0,-0.21
3,0.9,0.91
4,0.0,0.06
5,0.0,0.44
6,0.0,0.06